Entry from Alexandria via LeMat-Bulk: KTl2SnSe6 after structural relaxation (PBE).

Output
The total energy comes out at -3.4335 eV per atom. The density is 4.5 Mg/m³. Its formation energy from raw total energies is -360 meV/atom. The size of the total moment is 0.0 μB per formula unit.

abc: 8.7504 10.0666 10.0666
angles: 88.64 68.38 68.38
With the nearest neighbours (Å) after each atom.
Fractional coordinates of all 20 atoms:
Se 0.1862 0.6562 0.5332  1 Se 2.36
K 0.7500 0.1653 0.8347  6 Se 3.32-3.60
Se 0.0448 0.6486 0.0849  1 Sn 2.55, 1 Tl 2.79
Se 0.3138 0.4668 0.3438  1 Se 2.36
Se 0.9552 0.3514 0.9151  1 Sn 2.55, 1 Tl 2.79
Se 0.6862 0.5332 0.6562  1 Se 2.36
Se 0.3429 0.1416 0.0786  1 Sn 2.61, 1 Tl 2.82
Sn 0.7500 0.8611 0.1389  4 Se 2.55-2.61
K 0.2500 0.8347 0.1653  6 Se 3.32-3.60
Se 0.8138 0.3438 0.4668  1 Se 2.36
Sn 0.2500 0.1389 0.8611  4 Se 2.55-2.61
Tl 0.9350 0.5943 0.7719  4 Se 2.79-3.06
Se 0.4552 0.9151 0.3514  1 Sn 2.55, 1 Tl 2.79
Se 0.8429 0.0786 0.1416  1 Sn 2.61, 1 Tl 2.82
Se 0.1571 0.9214 0.8584  1 Sn 2.61, 1 Tl 2.82
Tl 0.4350 0.7719 0.5943  4 Se 2.79-3.06
Se 0.6571 0.8584 0.9214  1 Sn 2.61, 1 Tl 2.82
Tl 0.5650 0.2281 0.4057  4 Se 2.79-3.06
Tl 0.0650 0.4057 0.2281  4 Se 2.79-3.06
Se 0.5448 0.0849 0.6486  1 Sn 2.55, 1 Tl 2.79

Entry from Alexandria via LeMat-Bulk: Sm12Ni2Hg5 after structural relaxation (PBE).

Output
The total energy comes out at -3.8162 eV per atom. The calculation puts the energy relative to the elements at -2.807 eV per formula unit. The density is 8.1 Mg/m³. The size of the total moment is 0.0 μB per formula unit.

abc: 7.5548 9.2579 9.9039
angles: 106.02 90.00 114.08
With the nearest neighbours (Å) after each atom.
Fractional coordinates of all 19 atoms:
Sm 0.9966 0.9933 0.8169  2 Ni 3.01, 1 Hg 3.16
Hg 0.6953 0.3905 0.3569  7 Sm 3.10-3.18
Sm 0.3983 0.3030 0.5732  4 Hg 3.07-3.13
Sm 0.4244 0.3194 0.0788  1 Ni 2.61
Sm 0.5002 0.0004 0.2522  2 Ni 2.84, 2 Hg 3.11-3.14
Sm 0.8950 0.3194 0.0788  1 Ni 2.61
Hg 0.3047 0.6095 0.6431  7 Sm 3.10-3.18
Sm 0.6017 0.6970 0.4268  4 Hg 3.07-3.13
Sm 0.1050 0.6806 0.9212  1 Ni 2.61
Sm 0.5756 0.6806 0.9212  1 Ni 2.61
Sm 0.4998 0.9996 0.7478  2 Ni 2.84, 2 Hg 3.11-3.14
Ni 0.3205 0.0000 0.0000  4 Sm 2.61-2.84, 1 Ni 2.71
Hg 0.3074 0.6149 0.1649  7 Sm 3.11-3.18
Hg 0.6926 0.3851 0.8351  7 Sm 3.11-3.18
Sm 0.9047 0.3030 0.5732  4 Hg 3.07-3.13
Sm 0.0034 0.0067 0.1831  2 Ni 3.01, 1 Hg 3.16
Hg 0.0000 0.0000 0.5000  6 Sm 3.07-3.16
Sm 0.0953 0.6970 0.4268  4 Hg 3.07-3.13
Ni 0.6795 0.0000 0.0000  4 Sm 2.61-2.84, 1 Ni 2.71

Entry from Alexandria via LeMat-Bulk: SbTe2Br after structural relaxation (PBE).

Output
The total energy comes out at -2.8256 eV per atom. The density is 6.7 Mg/m³. The offset from the most stable computed form comes out at 0.3701 eV/atom. Its formation energy from raw total energies is 194 meV/atom. The size of the total moment is 0.0 μB per formula unit.

abc: 3.5650 3.5650 9.8074
angles: 90.00 90.00 113.96
With the nearest neighbours (Å) after each atom.
Fractional coordinates of all 4 atoms:
Br 0.5000 0.5000 0.2500  4 Te 3.18
Te 0.0000 0.0000 0.9939  2 Sb 3.08, 2 Br 3.18
Sb 0.5000 0.5000 0.7500  4 Te 3.08
Te 0.0000 0.0000 0.5061  2 Sb 3.08, 2 Br 3.18

Entry from Alexandria via LeMat-Bulk: Tm5ThSn4 after structural relaxation (PBE).

Output
The total energy comes out at -4.8059 eV per atom. The calculation puts the energy relative to the elements at -2.271 eV per formula unit. The density is 8.4 Mg/m³. The size of the total moment is 0.0 μB per formula unit.

abc: 6.6454 9.4228 9.7732
angles: 90.00 90.00 90.00
With the nearest neighbours (Å) after each atom.
Fractional coordinates of all 20 atoms:
Tm 0.7498 0.2451 0.7483  4 Sn 3.03-3.07, 2 Tm 3.32-3.33
Tm 0.2502 0.2549 0.2483  4 Sn 3.03-3.07, 2 Tm 3.32-3.33
Tm 0.7498 0.2451 0.2517  4 Sn 3.03-3.07, 2 Tm 3.32-3.33
Sn 0.9905 0.5000 0.1512  1 Sn 2.96, 4 Tm 3.03-3.05
Tm 0.4856 0.0000 0.5000  4 Sn 3.20-3.49
Sn 0.4998 0.6606 0.5000  1 Sn 3.03, 5 Tm 3.07-3.20
Th 0.0002 0.5000 0.5000  6 Sn 3.41-3.65, 8 Tm 3.76-3.80
Tm 0.7498 0.7549 0.2517  4 Sn 3.03-3.07, 2 Tm 3.32-3.33
Sn 0.0095 0.0000 0.3488  1 Sn 2.96, 4 Tm 3.03-3.05
Sn 0.9905 0.5000 0.8488  1 Sn 2.96, 4 Tm 3.03-3.05
Tm 0.2502 0.7451 0.2483  4 Sn 3.03-3.07, 2 Tm 3.32-3.33
Tm 0.2502 0.7451 0.7517  4 Sn 3.03-3.07, 2 Tm 3.32-3.33
Sn 0.4998 0.3394 0.5000  1 Sn 3.03, 5 Tm 3.07-3.20
Sn 0.5002 0.1606 0.0000  1 Sn 3.03, 5 Tm 3.07-3.20
Sn 0.5002 0.8394 0.0000  1 Sn 3.03, 5 Tm 3.07-3.20
Tm 0.5144 0.5000 0.0000  4 Sn 3.20-3.49
Tm 0.7498 0.7549 0.7483  4 Sn 3.03-3.07, 2 Tm 3.32-3.33
Th 0.9998 0.0000 0.0000  6 Sn 3.41-3.65, 8 Tm 3.76-3.80
Tm 0.2502 0.2549 0.7517  4 Sn 3.03-3.07, 2 Tm 3.32-3.33
Sn 0.0095 0.0000 0.6512  1 Sn 2.96, 4 Tm 3.03-3.05